1.
Compound: KYPb
Source: Alexandria via LeMat-Bulk
Functional: GGA-PBE
Structure: optimized geometry

abc: 6.779 6.779 11.576
angles: 90.00 90.00 120.00
Atoms (fractional coordinates):
Pb: 0.000 0.000 0.500
Pb: 0.000 0.000 0.000
Y: 0.000 0.000 0.250
Y: 0.000 0.000 0.750
K: 0.333 0.667 0.250
K: 0.667 0.333 0.750

- Energy relative to the lowest polymorph listed for this composition: 114.86 kJ per mole of atoms
- Raw total energy: -17.13 eV per cell
- Space group: P6_3/mmc
- Calculated formation energy: 0.901 eV/atom

***

2.
Compound: NaSrLa2
Source: Alexandria via LeMat-Bulk
Functional: GGA-PBE
Structure: optimized geometry

abc: 6.119 6.119 6.119
angles: 60.00 60.00 60.00
Atoms (fractional coordinates):
Sr: 0.500 0.500 0.500
La: 0.750 0.750 0.750
La: 0.250 0.250 0.250
Na: 0.000 0.000 0.000

- Energy relative to the lowest polymorph listed for this composition: 0.00 kJ per mole of atoms
- Raw total energy: -11.58 eV per cell
- Space group: Fm-3m
- Calculated formation energy: 0.318 eV/atom

***

3.
Compound: BaH2OsN
Source: Alexandria via LeMat-Bulk
Functional: GGA-PBE
Structure: optimized geometry

abc: 3.669 6.592 3.669
angles: 90.00 90.00 90.00
Last column: magnetic moment on the atom in μB.
Atoms (fractional coordinates):
H: 0.000 0.000 0.500  -0.01
H: 0.500 0.000 0.000  -0.01
Ba: 0.000 0.500 0.000  0.06
Os: 0.000 0.000 0.000  1.54
N: 0.500 0.500 0.500  0.99

- Raw total energy: -23.00 eV per cell
- Space group: P4/mmm

***

4.
Compound: LaNdGaRh
Source: Alexandria via LeMat-Bulk
Functional: GGA-PBE
Structure: optimized geometry

abc: 5.173 5.173 5.173
angles: 60.00 60.00 60.00
Atoms (fractional coordinates):
Ga: 0.750 0.750 0.750
Nd: 0.500 0.500 0.500
Rh: 0.250 0.250 0.250
La: 0.000 0.000 0.000

- Energy relative to the lowest polymorph listed for this composition: 13.23 kJ per mole of atoms
- Raw total energy: -22.22 eV per cell
- Space group: F-43m
- Calculated formation energy: -0.536 eV/atom

***

5.
Compound: MgSc5Ag4
Source: Alexandria via LeMat-Bulk
Functional: GGA-PBE
Structure: optimized geometry

abc: 3.440 3.440 17.562
angles: 90.00 90.00 90.00
Atoms (fractional coordinates):
Ag: 0.000 0.000 0.402
Ag: 0.000 0.000 0.796
Ag: 0.000 0.000 0.204
Ag: 0.000 0.000 0.598
Sc: 0.500 0.500 0.891
Sc: 0.500 0.500 0.500
Sc: 0.500 0.500 0.696
Sc: 0.500 0.500 0.109
Sc: 0.500 0.500 0.304
Mg: 0.000 0.000 0.000

- Raw total energy: -46.91 eV per cell
- Space group: P4/mmm
- Calculated formation energy: -0.225 eV/atom

***

6.
Compound: Si2PtRh3
Source: Alexandria via LeMat-Bulk
Functional: GGA-PBE
Structure: optimized geometry

abc: 3.984 5.563 7.468
angles: 90.00 90.00 90.00
Atoms (fractional coordinates):
Si: 0.500 0.230 0.137
Si: 0.500 0.730 0.863
Si: 0.000 0.774 0.350
Si: 0.000 0.274 0.650
Rh: 0.000 0.344 0.325
Rh: 0.000 0.973 0.056
Rh: 0.000 0.844 0.675
Rh: 0.500 0.654 0.179
Rh: 0.000 0.473 0.944
Rh: 0.500 0.154 0.821
Pt: 0.500 0.526 0.563
Pt: 0.500 0.026 0.437

- Raw total energy: -86.39 eV per cell
- Space group: Pmc2_1